1.
# ErThCuNi PBE-GGA relaxed
data_ErThCuNi
_chemical_formula_sum 'Er4 Th4 Cu4 Ni4'
_cell_length_a 6.951
_cell_length_b 6.951
_cell_length_c 6.951
_cell_angle_alpha 90.00
_cell_angle_beta 90.00
_cell_angle_gamma 90.00
_space_group_name_H-M_alt 'F -4 3 m'
_space_group_IT_number 216
_space_group_name_Hall 'F -4 2 3'
loop_
_atom_site_label
_atom_site_type_symbol
_atom_site_fract_x
_atom_site_fract_y
_atom_site_fract_z
Er1 Er 0.000 0.000 0.000
Th1 Th 0.000 0.000 0.500
Cu1 Cu 0.250 0.250 0.250
Ni1 Ni 0.250 0.250 0.750
# Density of states at the Fermi level = 1.05 states/eV/atom
# Formation energy = -0.24 eV/atom
# V = 84 Å³/f.u.
# Energy above the most stable polymorph in this dataset = 0.38 eV/f.u.
# Total energy = -5.71 eV/atom



2.
# ErTiCuNi PBE-GGA relaxed
data_ErTiCuNi
_chemical_formula_sum 'Er4 Ti4 Cu4 Ni4'
_cell_length_a 6.451
_cell_length_b 6.451
_cell_length_c 6.451
_cell_angle_alpha 90.00
_cell_angle_beta 90.00
_cell_angle_gamma 90.00
_space_group_name_H-M_alt 'F -4 3 m'
_space_group_IT_number 216
_space_group_name_Hall 'F -4 2 3'
loop_
_atom_site_label
_atom_site_type_symbol
_atom_site_fract_x
_atom_site_fract_y
_atom_site_fract_z
Er1 Er 0.000 0.000 0.000
Ti1 Ti 0.000 0.000 0.500
Cu1 Cu 0.250 0.250 0.750
Ni1 Ni 0.250 0.250 0.250
# Density of states at the Fermi level = 1.25 states/eV/atom
# Formation energy = -0.16 eV/atom
# V = 67 Å³/f.u.
# Total energy = -5.74 eV/atom



3.
# ErTlCuNi PBE-GGA relaxed
data_ErTlCuNi
_chemical_formula_sum 'Er4 Tl4 Cu4 Ni4'
_cell_length_a 6.594
_cell_length_b 6.594
_cell_length_c 6.594
_cell_angle_alpha 90.00
_cell_angle_beta 90.00
_cell_angle_gamma 90.00
_space_group_name_H-M_alt 'F -4 3 m'
_space_group_IT_number 216
_space_group_name_Hall 'F -4 2 3'
loop_
_atom_site_label
_atom_site_type_symbol
_atom_site_fract_x
_atom_site_fract_y
_atom_site_fract_z
Er1 Er 0.000 0.000 0.000
Tl1 Tl 0.000 0.000 0.500
Cu1 Cu 0.250 0.250 0.750
Ni1 Ni 0.250 0.250 0.250
# Density of states at the Fermi level = 0.90 states/eV/atom
# Formation energy = -0.17 eV/atom
# V = 72 Å³/f.u.
# Total energy = -4.37 eV/atom



4.
# YErCuNi PBE-GGA relaxed
data_YErCuNi
_chemical_formula_sum 'Y2 Er2 Cu2 Ni2'
_cell_length_a 4.378
_cell_length_b 3.692
_cell_length_c 10.195
_cell_angle_alpha 90.00
_cell_angle_beta 90.00
_cell_angle_gamma 90.00
_space_group_name_H-M_alt 'A m m 2'
_space_group_IT_number 38
_space_group_name_Hall 'A 2 -2'
loop_
_atom_site_label
_atom_site_type_symbol
_atom_site_fract_x
_atom_site_fract_y
_atom_site_fract_z
Y1 Y 0.000 0.000 0.000
Er1 Er 0.500 0.000 0.279
Cu1 Cu 0.500 0.000 0.569
Ni1 Ni 0.000 0.000 0.714
# Density of states at the Fermi level = 0.64 states/eV/atom
# Formation energy = -0.37 eV/atom
# V = 82 Å³/f.u.
# Energy above the most stable polymorph in this dataset = 0.00 eV/f.u.
# Total energy = -5.59 eV/atom



5.
# YErCuNi PBE-GGA relaxed
data_YErCuNi
_chemical_formula_sum 'Y4 Er4 Cu4 Ni4'
_cell_length_a 6.823
_cell_length_b 6.823
_cell_length_c 6.823
_cell_angle_alpha 90.00
_cell_angle_beta 90.00
_cell_angle_gamma 90.00
_space_group_name_H-M_alt 'F -4 3 m'
_space_group_IT_number 216
_space_group_name_Hall 'F -4 2 3'
loop_
_atom_site_label
_atom_site_type_symbol
_atom_site_fract_x
_atom_site_fract_y
_atom_site_fract_z
Y1 Y 0.000 0.000 0.000
Er1 Er 0.000 0.000 0.500
Cu1 Cu 0.250 0.250 0.250
Ni1 Ni 0.250 0.250 0.750
# Density of states at the Fermi level = 0.72 states/eV/atom
# Formation energy = -0.33 eV/atom
# V = 79 Å³/f.u.
# Energy above the most stable polymorph in this dataset = 0.16 eV/f.u.
# Total energy = -5.56 eV/atom



6.
# Er2ZnCu5Ni2 PBE-GGA relaxed
data_Er2ZnCu5Ni2
_chemical_formula_sum 'Er4 Zn2 Cu10 Ni4'
_cell_length_a 8.945
_cell_length_b 8.945
_cell_length_c 3.792
_cell_angle_alpha 90.00
_cell_angle_beta 90.00
_cell_angle_gamma 90.00
_space_group_name_H-M_alt 'P 4/m b m'
_space_group_IT_number 127
_space_group_name_Hall '-P 4 2ab'
loop_
_atom_site_label
_atom_site_type_symbol
_atom_site_fract_x
_atom_site_fract_y
_atom_site_fract_z
Er1 Er 0.179 0.321 0.000
Zn1 Zn 0.000 0.000 0.000
Cu1 Cu 0.000 0.500 0.500
Cu2 Cu 0.059 0.795 0.500
Ni1 Ni 0.117 0.617 0.000
# Density of states at the Fermi level = 0.49 states/eV/atom
# Formation energy = -0.22 eV/atom
# V = 152 Å³/f.u.
# Total energy = -4.46 eV/atom



7.
# ErZn4CuNi2 PBE-GGA relaxed
data_ErZn4CuNi2
_chemical_formula_sum 'Er3 Zn12 Cu3 Ni6'
_cell_length_a 4.1284
_cell_length_b 4.1284
_cell_length_c 24.6805
_cell_angle_alpha 90.00
_cell_angle_beta 90.00
_cell_angle_gamma 120.00
_space_group_name_H-M_alt 'R -3 m'
_space_group_IT_number 166
_space_group_name_Hall '-R 3 2"'
loop_
_atom_site_label
_atom_site_type_symbol
_atom_site_fract_x
_atom_site_fract_y
_atom_site_fract_z
Er1 Er 0.0000 0.0000 0.0000
Zn1 Zn 0.0000 0.0000 0.1300
Zn2 Zn 0.0000 0.0000 0.4013
Cu1 Cu 0.0000 0.0000 0.5000
Ni1 Ni 0.0000 0.0000 0.2363
# Density of states at the Fermi level = 0.67 states/eV/atom
# Formation energy = -0.20 eV/atom
# V = 121 Å³/f.u.
# Total energy = -3.36 eV/atom



8.
# Er2Zn3CuNi12 PBE-GGA relaxed
data_Er2Zn3CuNi12
_chemical_formula_sum 'Er6 Zn9 Cu3 Ni36'
_cell_length_a 5.1075
_cell_length_b 5.1075
_cell_length_c 33.5769
_cell_angle_alpha 90.00
_cell_angle_beta 90.00
_cell_angle_gamma 120.00
_space_group_name_H-M_alt 'R -3 m'
_space_group_IT_number 166
_space_group_name_Hall '-R 3 2"'
loop_
_atom_site_label
_atom_site_type_symbol
_atom_site_fract_x
_atom_site_fract_y
_atom_site_fract_z
Er1 Er 0.0000 0.0000 0.1414
Zn1 Zn 0.0000 0.5000 0.0000
Cu1 Cu 0.0000 0.0000 0.5000
Ni1 Ni 0.0041 0.5021 0.1105
Ni2 Ni 0.0199 0.5099 0.6106
# Density of states at the Fermi level = 1.42 states/eV/atom
# Formation energy = 0.03 eV/atom
# V = 253 Å³/f.u.
# Total energy = -4.77 eV/atom



9.
# ErZn5CuNi2 PBE-GGA relaxed
data_ErZn5CuNi2
_chemical_formula_sum 'Er1 Zn5 Cu1 Ni2'
_cell_length_a 4.576
_cell_length_b 4.576
_cell_length_c 6.922
_cell_angle_alpha 90.00
_cell_angle_beta 90.00
_cell_angle_gamma 90.00
_space_group_name_H-M_alt 'P 4/m m m'
_space_group_IT_number 123
_space_group_name_Hall '-P 4 2'
loop_
_atom_site_label
_atom_site_type_symbol
_atom_site_fract_x
_atom_site_fract_y
_atom_site_fract_z
Er1 Er 0.000 0.000 0.000
Zn1 Zn 0.000 0.500 0.297
Zn2 Zn 0.500 0.500 0.000
Cu1 Cu 0.000 0.000 0.500
Ni1 Ni 0.500 0.500 0.335
# Density of states at the Fermi level = 0.54 states/eV/atom
# Formation energy = -0.03 eV/atom
# V = 145 Å³/f.u.
# Total energy = -2.99 eV/atom



10.
# ErZnCuNi PBE-GGA relaxed
data_ErZnCuNi
_chemical_formula_sum 'Er4 Zn4 Cu4 Ni4'
_cell_length_a 6.342
_cell_length_b 6.342
_cell_length_c 6.342
_cell_angle_alpha 90.00
_cell_angle_beta 90.00
_cell_angle_gamma 90.00
_space_group_name_H-M_alt 'F -4 3 m'
_space_group_IT_number 216
_space_group_name_Hall 'F -4 2 3'
loop_
_atom_site_label
_atom_site_type_symbol
_atom_site_fract_x
_atom_site_fract_y
_atom_site_fract_z
Er1 Er 0.000 0.000 0.000
Zn1 Zn 0.000 0.000 0.500
Cu1 Cu 0.250 0.250 0.750
Ni1 Ni 0.250 0.250 0.250
# Density of states at the Fermi level = 0.80 states/eV/atom
# Formation energy = -0.25 eV/atom
# V = 64 Å³/f.u.
# Total energy = -4.18 eV/atom



11.
# Er2ZnCu3Ni12 PBE-GGA relaxed
data_Er2ZnCu3Ni12
_chemical_formula_sum 'Er6 Zn3 Cu9 Ni36'
_cell_length_a 5.1042
_cell_length_b 5.1042
_cell_length_c 32.9608
_cell_angle_alpha 90.00
_cell_angle_beta 90.00
_cell_angle_gamma 120.00
_space_group_name_H-M_alt 'R -3 m'
_space_group_IT_number 166
_space_group_name_Hall '-R 3 2"'
loop_
_atom_site_label
_atom_site_type_symbol
_atom_site_fract_x
_atom_site_fract_y
_atom_site_fract_z
Er1 Er 0.0000 0.0000 0.1408
Zn1 Zn 0.0000 0.0000 0.5000
Cu1 Cu 0.0000 0.5000 0.0000
Ni1 Ni 0.0034 0.5017 0.1093
Ni2 Ni 0.0233 0.5117 0.6112
# Density of states at the Fermi level = 1.39 states/eV/atom
# Formation energy = 0.11 eV/atom
# V = 248 Å³/f.u.
# Total energy = -5.00 eV/atom



12.
# Er2ZnCu2Ni5 PBE-GGA relaxed
data_Er2ZnCu2Ni5
_chemical_formula_sum 'Er4 Zn2 Cu4 Ni10'
_cell_length_a 8.846
_cell_length_b 8.846
_cell_length_c 3.684
_cell_angle_alpha 90.00
_cell_angle_beta 90.00
_cell_angle_gamma 90.00
_space_group_name_H-M_alt 'P 4/m b m'
_space_group_IT_number 127
_space_group_name_Hall '-P 4 2ab'
loop_
_atom_site_label
_atom_site_type_symbol
_atom_site_fract_x
_atom_site_fract_y
_atom_site_fract_z
Er1 Er 0.179 0.321 0.000
Zn1 Zn 0.000 0.000 0.000
Cu1 Cu 0.118 0.618 0.000
Ni1 Ni 0.000 0.500 0.500
Ni2 Ni 0.061 0.796 0.500
# Density of states at the Fermi level = 0.42 states/eV/atom
# Formation energy = -0.28 eV/atom
# V = 144 Å³/f.u.
# Total energy = -5.02 eV/atom